[1]
LuNbN2O: optimized geometry, GGA-PBE.

Properties
Raw total energy = -8.7485 eV per atom

Lattice parameters (Å, degrees): 5.6618 3.8245 6.0611 90.00 90.00 90.00
Last column: nearest neighbours and their distance in Å.
Atoms (fractional coordinates):
N 0.7500 0.0000 0.8110  2 Nb 2.00, 1 Lu 2.13
Nb 0.2500 0.5000 0.2862  4 N 1.92-2.00
O 0.5000 0.5000 0.0000  2 Nb 2.24
N 0.5000 0.5000 0.5000  2 Nb 1.92
Nb 0.7500 0.5000 0.7138  4 N 1.92-2.00
N 0.0000 0.5000 0.5000  2 Nb 1.92
Lu 0.2500 0.0000 0.8378  1 N 2.13
Lu 0.7500 0.0000 0.1622  1 N 2.13
O 0.0000 0.5000 0.0000  2 Nb 2.24
N 0.2500 0.0000 0.1890  2 Nb 2.00, 1 Lu 2.13

---

[2]
LuNbN2O: optimized geometry, GGA-PBE.

Properties
Raw total energy = -9.0420 eV per atom

Lattice parameters (Å, degrees): 5.4111 5.4598 5.8428 91.51 116.82 119.21
Last column: nearest neighbours and their distance in Å.
Atoms (fractional coordinates):
N 0.4781 0.0300 0.2675  2 Nb 1.99-2.19
N 0.1781 0.2059 0.7415  1 Nb 1.92
N 0.2091 0.4249 0.2389  1 Nb 1.88
Nb 0.3070 0.1809 0.4308  3 N 1.88-2.08
O 0.5343 0.9563 0.7580  1 Nb 1.99, 1 Lu 2.18
Lu 0.2719 0.6431 0.9187  2 O 2.18-2.41, 4 N 2.23-2.31
N 0.7634 0.5543 0.7297  2 Nb 2.02-2.08, 1 Lu 2.23
Lu 0.7107 0.3591 0.0817  2 O 2.16-2.33, 4 N 2.25-2.41
O 0.8218 0.7773 0.2626  2 Nb 2.15-2.19, 1 Lu 2.16
Nb 0.7256 0.8682 0.5707  2 N 1.92-2.02, 1 O 1.99

---

[3]
LuNbN2O: optimized geometry, GGA-PBE.

Properties
Raw total energy = -9.0541 eV per atom

Lattice parameters (Å, degrees): 7.8173 7.8534 7.8568 89.92 89.81 86.97
Last column: nearest neighbours and their distance in Å.
Atoms (fractional coordinates):
N 0.7019 0.0311 0.0678  2 Nb 2.00-2.17
O 0.4979 0.3349 0.5713  2 Nb 2.17-2.18, 1 Lu 2.19
N 0.3001 0.0288 0.9354  1 Nb 1.95
N 0.6918 0.0330 0.4299  2 Nb 1.98-2.18
N 0.1991 0.5274 0.4452  2 Nb 2.03-2.11
N 0.9982 0.8354 0.5659  2 Nb 1.97-2.00
N 0.0021 0.2207 0.4347  2 Nb 1.97-2.00
Lu 0.0553 0.0480 0.7521  2 O 2.21-2.26, 4 N 2.28-2.45
Lu 0.9686 0.4888 0.2507  2 O 2.17-2.27, 2 N 2.29-2.40
Nb 0.7450 0.2682 0.9921  4 N 2.00-2.17, 2 O 2.11-2.21
Lu 0.0314 0.5580 0.7476  2 O 2.13-2.30, 2 N 2.31-2.37
Nb 0.7579 0.7751 0.5179  4 N 1.96-2.18, 1 O 2.19
Nb 0.7396 0.7670 0.9913  4 N 1.97-2.17, 2 O 2.16-2.20
Nb 0.2669 0.2661 0.0054  4 N 1.95-2.18, 1 O 2.17
N 0.8014 0.5301 0.5557  1 Nb 1.96
O 0.2900 0.6838 0.7499  2 Nb 2.18-2.24, 2 Lu 2.18-2.30
N 0.6622 0.8146 0.7494  2 Nb 1.98-2.02
Nb 0.7609 0.2586 0.5068  4 N 1.97-2.21, 1 O 2.17
N 0.1854 0.5298 0.0612  1 Nb 1.94
Nb 0.2472 0.2634 0.4828  4 N 1.96-2.11, 1 O 2.18
O 0.1577 0.3112 0.7551  2 Lu 2.13-2.26, 2 Nb 2.17-2.27
O 0.0006 0.8379 0.9282  2 Nb 2.11-2.20, 1 Lu 2.21
N 0.5008 0.7210 0.0643  2 Nb 2.00-2.02
Nb 0.2338 0.7789 0.4860  4 N 1.97-2.14, 1 O 2.17
Lu 0.5185 0.0673 0.7490  4 N 2.22-2.43
O 0.7097 0.3721 0.2522  2 Lu 2.16-2.27, 2 Nb 2.21-2.22
N 0.4986 0.3347 0.9348  2 Nb 1.99-2.02
O 0.5022 0.7244 0.4246  2 Nb 2.17-2.19, 2 Lu 2.21-2.42
Nb 0.2482 0.7607 0.0135  3 N 1.94-2.02, 1 O 2.11
Lu 0.5396 0.5452 0.7459  2 O 2.18-2.19, 2 N 2.25-2.37
Lu 0.4611 0.5059 0.2562  2 O 2.16-2.21, 2 N 2.30-2.36
N 0.2059 0.8562 0.2478  2 Nb 1.98-2.01
O 0.9994 0.2239 0.0770  2 Nb 2.11-2.21, 1 Lu 2.23
N 0.7927 0.1988 0.7516  2 Nb 1.99-2.00
N 0.3387 0.2380 0.2510  2 Nb 1.96-2.02
O 0.8412 0.7417 0.2465  2 Nb 2.16-2.24, 2 Lu 2.17-2.25
N 0.3078 0.0240 0.5670  2 Nb 2.03-2.14, 1 Lu 2.22
N 0.8133 0.5282 0.9421  2 Nb 1.97-2.17
Lu 0.9471 0.0029 0.2453  2 O 2.23-2.25, 4 N 2.28-2.46
Lu 0.4801 0.9779 0.2490  5 N 2.24-2.48, 1 O 2.42

---

Question: Which of these has the highest raw total energy?
Answer: number 1

---

Question: Which formula does entry 3 have?
Answer: LuNbN2O

---

Question: Which of these has the lowest raw total energy?
Answer: number 3